First-principles (GGA-PBE) data for MgTaNi2 after structural relaxation, as listed in Alexandria via LeMat-Bulk.

As for the total energy: -6.42 eV/atom. The space group is No. 25. The value obtained for the energy of formation from the pure elements is -0.164 eV/atom. Its density is 9.40 g cm⁻³.

a = 4.522 Å, b = 2.779 Å, c = 4.534 Å
α = 90.00°, β = 90.00°, γ = 90.00°
Fractional positions:
Ta1 0.000 0.625 0.387
Mg1 0.500 0.625 0.864
Ni1 0.500 0.125 0.357
Ni2 0.000 0.125 0.892